## NaS2NCl (PBE)

Data for crystalline NaS2NCl at its relaxed geometry.

Output
For the density of states at the Fermi level, the calculation gives 1.77 states/eV/cell. The value obtained for the formation energy (no corrections) is 257 meV/atom.

Lattice parameters (Å, degrees): 3.8618 3.8618 8.1215 90.00 90.00 90.00
Positions (direct):
Na 0.0000 0.0000 0.0000
S 0.0000 0.5000 0.5000
S 0.5000 0.0000 0.5000
N 0.5000 0.5000 0.5000
Cl 0.5000 0.5000 0.0000

---

## NbVAs2 (PBE)

Data for crystalline NbVAs2 at its relaxed geometry.

Output
For the formation energy, the calculation gives -110 kJ/mol of formula units. For the density of states at the Fermi level, the calculation gives 2.62 states/eV/cell.

Lattice parameters (Å, degrees): 4.4666 4.4666 4.4666 60.00 60.00 60.00
Positions (direct):
Nb 0.0000 0.0000 0.0000
V 0.5000 0.5000 0.5000
As 0.2500 0.2500 0.2500
As 0.7500 0.7500 0.7500

---

## RbBH2 (PBE)

Data for crystalline RbBH2 at its relaxed geometry.

Output
The total DFT energy (no corrections) comes out at -3.48 eV per atom. For the density of states at the Fermi level, the calculation gives 0.23 states/eV/cell.

Lattice parameters (Å, degrees): 5.2165 3.2376 8.1395 90.00 99.12 90.00
Positions (direct):
Rb 0.0000 0.0000 0.0000
Rb 0.1179 0.0000 0.5005
B 0.5603 0.2617 0.2567
B 0.5603 0.7383 0.2567
H 0.0926 0.5000 0.7591
H 0.5127 0.5000 0.7566
H 0.5204 0.5000 0.1161
H 0.6517 0.5000 0.7351

---

## KLi2AlGe (PBE)

Data for crystalline KLi2AlGe at its relaxed geometry.

Output
For the formation energy, the calculation gives 190 kJ/mol of formula units. For the density of states at the Fermi level, the calculation gives 1.35 states/eV/cell.

Lattice parameters (Å, degrees): 5.0593 5.0593 6.0838 90.00 90.00 90.00
Positions (direct):
K 0.0000 0.0000 0.0000
Li 0.0000 0.5000 0.5000
Li 0.5000 0.0000 0.5000
Al 0.5000 0.5000 0.0000
Ge 0.0000 0.0000 0.5000

---

## VIn2HgOs (PBE)

Data for crystalline VIn2HgOs at its relaxed geometry.

Output
For the formation energy, the calculation gives 479 kJ/mol of formula units. For the density of states at the Fermi level, the calculation gives 5.77 states/eV/cell.

Lattice parameters (Å, degrees): 5.7941 5.7941 4.5123 90.00 90.00 90.00
Positions (direct):
V 0.0000 0.0000 0.0000
In 0.0000 0.5000 0.0000
In 0.5000 0.0000 0.0000
Hg 0.5000 0.5000 0.5000
Os 0.0000 0.0000 0.5000

---

## TlCr2 (PBE)

Data for crystalline TlCr2 at its relaxed geometry.

Output
For the formation energy, the calculation gives 341 kJ/mol of formula units. For the density of states at the Fermi level, the calculation gives 1.93 states/eV/cell.

Lattice parameters (Å, degrees): 4.6358 4.6358 3.2491 90.00 90.00 90.00
Positions (direct):
Tl 0.0000 0.0000 0.0000
Cr 0.0000 0.5000 0.5000
Cr 0.5000 0.0000 0.5000

---

## Rb4SnI6 (PBE)

Data for crystalline Rb4SnI6 at its relaxed geometry.

Output
For the density of states at the Fermi level, the calculation gives 0.00 states/eV/cell. The value obtained for the formation energy (no corrections) is -1235 meV/atom.

Lattice parameters (Å, degrees): 10.2291 10.2291 10.2291 89.74 89.74 89.74
Positions (direct):
Rb 0.1350 0.7500 0.3650
Rb 0.2500 0.2500 0.2500
Rb 0.2500 0.6350 0.8650
Rb 0.3650 0.1350 0.7500
Rb 0.6350 0.8650 0.2500
Rb 0.7500 0.3650 0.1350
Rb 0.7500 0.7500 0.7500
Rb 0.8650 0.2500 0.6350
Sn 0.0000 0.0000 0.0000
Sn 0.5000 0.5000 0.5000
I 0.0567 0.9312 0.6984
I 0.0688 0.3016 0.9433
I 0.1984 0.4312 0.5567
I 0.3016 0.9433 0.0688
I 0.4312 0.5567 0.1984
I 0.4433 0.8016 0.5688
I 0.5567 0.1984 0.4312
I 0.5688 0.4433 0.8016
I 0.6984 0.0567 0.9312
I 0.8016 0.5688 0.4433
I 0.9312 0.6984 0.0567
I 0.9433 0.0688 0.3016

---

## Zr3I7Br (PBE)

Data for crystalline Zr3I7Br at its relaxed geometry.

Output
The value obtained for the formation energy (no corrections) is -942 meV/atom.

Lattice parameters (Å, degrees): 7.9737 7.9737 7.6630 90.00 90.00 120.00
Positions (direct):
Zr 0.0558 0.5279 0.0000
Zr 0.4721 0.5279 0.0000
Zr 0.4721 0.9442 0.0000
I 0.1652 0.3304 0.2492
I 0.1652 0.8348 0.2492
I 0.3296 0.1648 0.7906
I 0.6667 0.3333 0.2031
I 0.6696 0.8348 0.2492
I 0.8352 0.1648 0.7906
I 0.8352 0.6704 0.7906
Br 0.3333 0.6667 0.7395

---

## U2Si4NiRh3 (PBE)

Data for crystalline U2Si4NiRh3 at its relaxed geometry.

Output
For the density of states at the Fermi level, the calculation gives 19.50 states/eV/cell. The value obtained for the formation energy (no corrections) is -687 meV/atom.

Lattice parameters (Å, degrees): 4.0579 4.0579 9.8690 90.00 90.00 90.00
Positions (direct):
U 0.0000 0.5000 0.2503
U 0.5000 0.0000 0.7497
Si 0.0000 0.0000 0.0000
Si 0.0000 0.5000 0.6293
Si 0.5000 0.0000 0.3707
Si 0.5000 0.5000 0.0000
Ni 0.0000 0.0000 0.5000
Rh 0.0000 0.5000 0.8699
Rh 0.5000 0.0000 0.1301
Rh 0.5000 0.5000 0.5000